Compound: AsPbCl4
Source: the Alexandria database
Functional: PBE
Structure: relaxed

The mass density is 4.52 g cm⁻³. The energy relative to the elements, uncorrected is 431.2 meV per atom. As for the calculated volume: 622.40 Å³/cell.

The structure belongs to space group F-43m (No. 216); the cell edges are 8.538, 8.538 and 8.538 Å and the angles 90.00°, 90.00° and 90.00°. Symmetry generates all atoms from As at (0.000, 0.000, 0.000), Pb at (0.250, 0.250, 0.250) and Cl at (0.125, 0.125, 0.625).